Entry 1:
Below is an optimized crystal structure of CdCo2GeS, with properties calculated at the PBE level.

abc: 4.144 5.310 4.144
angles: 90.00 90.00 90.00
Last column: magnetic moment on the atom in μB.
Sites, in units of the cell vectors:
Cd1 0.000 0.500 0.000  0.01
Ge1 0.500 0.500 0.500  -0.05
Co1 0.500 0.000 0.000  1.24
Co2 0.000 0.000 0.500  1.01
S1 0.000 0.000 0.000  0.06

Summary:
The energy relative to the elements, uncorrected comes out at 0.46 eV/atom. As for the space-group type: P4/mmm. As for the energy above the lowest structure with this stoichiometry: 0 kJ/mol of formula units. The calculation puts the electronic total energy at -4.319 eV per atom. The calculation puts the density of states at the Fermi level at 2.9 states/eV/f.u.

***

Entry 2:
Below is an optimized crystal structure of Pm2AsP, with properties calculated at the PBE level.

abc: 5.110 5.110 5.110
angles: 60.00 60.00 60.00
Sites, in units of the cell vectors:
Pm1 0.250 0.250 0.250
As1 0.500 0.500 0.500
Pm2 0.750 0.750 0.750
P1 0.000 0.000 0.000

Summary:
Its energy relative to the elements is -1.06 eV per atom. As for the space-group type: Fm-3m. As for the energy above the lowest structure with this stoichiometry: 187 kJ/mol of formula units. The calculation puts the electronic total energy at -5.948 eV per atom. The calculation puts the density of states at the Fermi level at 2.4 states/eV/f.u.

***

Entry 3:
Below is an optimized crystal structure of HfMgZrNb, with properties calculated at the PBE level.

abc: 4.892 4.892 4.892
angles: 60.00 60.00 60.00
Sites, in units of the cell vectors:
Mg1 0.750 0.750 0.750
Nb1 0.250 0.250 0.250
Hf1 0.500 0.500 0.500
Zr1 0.000 0.000 0.000

Summary:
Its energy relative to the elements is 0.11 eV per atom. As for the space-group type: F-43m. The calculation puts the electronic total energy at -7.433 eV per atom. The calculation puts the density of states at the Fermi level at 3.5 states/eV/f.u.

***

Entry 4:
Below is an optimized crystal structure of Sr2TlZn, with properties calculated at the PBE level.

abc: 6.413 6.413 6.413
angles: 134.82 134.82 65.82
Sites, in units of the cell vectors:
Sr1 0.250 0.750 0.500
Zn1 0.750 0.250 0.500
Tl1 0.500 0.500 0.000
Sr2 0.000 0.000 0.000

Summary:
Its energy relative to the elements is -0.11 eV per atom. As for the space-group type: I-4m2. The calculation puts the electronic total energy at -1.861 eV per atom. The calculation puts the density of states at the Fermi level at 4.5 states/eV/f.u.

***

Entry 5:
Below is an optimized crystal structure of KPdBr, with properties calculated at the PBE level.

abc: 10.314 4.500 4.500
angles: 90.05 115.60 64.40
Sites, in units of the cell vectors:
K1 0.679 0.573 0.427
K2 0.321 0.427 0.573
Pd1 0.000 0.500 0.000
Br1 0.253 0.995 0.005
Br2 0.747 0.005 0.995
Pd2 0.000 0.000 0.500

Summary:
The energy relative to the elements, uncorrected comes out at -0.58 eV/atom. As for the space-group type: C2/m. As for the energy above the lowest structure with this stoichiometry: 39 kJ/mol of formula units. The calculation puts the electronic total energy at -3.230 eV per atom. The calculation puts the density of states at the Fermi level at 0.0 states/eV/f.u.

***

Entry 6:
Below is an optimized crystal structure of Pm6GePb2, with properties calculated at the PBE level.

abc: 4.401 8.560 8.560
angles: 120.00 90.00 90.00
Last column: magnetic moment on the atom in μB.
Sites, in units of the cell vectors:
Pm1 0.500 0.000 0.600  0.44
Ge1 0.500 0.000 0.000  -0.04
Pb1 0.000 0.333 0.667  -0.02
Pm2 0.000 0.000 0.247  0.43
Pm3 0.000 0.753 0.753  0.43
Pb2 0.000 0.667 0.333  -0.02
Pm4 0.500 0.600 0.000  0.44
Pm5 0.500 0.400 0.400  0.44
Pm6 0.000 0.248 0.000  0.43

Summary:
Its energy relative to the elements is -0.51 eV per atom. As for the space-group type: P-62m. The calculation puts the electronic total energy at -5.016 eV per atom. The calculation puts the density of states at the Fermi level at 7.0 states/eV/f.u.

***

Entry 7:
Below is an optimized crystal structure of BaAu3I, with properties calculated at the PBE level.

abc: 6.064 6.064 6.064
angles: 90.00 90.00 90.00
Sites, in units of the cell vectors:
Au1 0.500 0.000 0.000
Au2 0.000 0.500 0.000
I1 0.500 0.500 0.500
Au3 0.000 0.000 0.500
Ba1 0.000 0.000 0.000

Summary:
The energy relative to the elements, uncorrected comes out at 0.60 eV/atom. As for the space-group type: Pm-3m. As for the energy above the lowest structure with this stoichiometry: 236 kJ/mol of formula units. The calculation puts the electronic total energy at -2.063 eV per atom. The calculation puts the density of states at the Fermi level at 7.1 states/eV/f.u.

***

Entry 8:
Below is an optimized crystal structure of RbPm2I6, with properties calculated at the PBE level.

abc: 8.678 7.862 7.862
angles: 120.00 90.00 90.00
Last column: magnetic moment on the atom in μB.
Sites, in units of the cell vectors:
Pm1 0.500 0.333 0.667  0.26
I1 0.716 0.643 0.643  0.00
I2 0.716 0.357 0.000  0.00
I3 0.284 0.000 0.643  0.00
I4 0.284 0.643 0.000  0.00
I5 0.284 0.357 0.357  0.00
Pm2 0.500 0.667 0.333  0.26
I6 0.716 0.000 0.357  0.00
Rb1 0.000 0.000 0.000  0.00

Summary:
The energy relative to the elements, uncorrected comes out at -1.36 eV/atom. As for the space-group type: P-31m. The calculation puts the electronic total energy at -3.554 eV per atom. The calculation puts the density of states at the Fermi level at 5.4 states/eV/f.u.

***

Entry 9:
Below is an optimized crystal structure of CoCu2Pt, with properties calculated at the PBE level.

abc: 6.713 6.713 5.359
angles: 51.22 51.22 90.00
Last column: magnetic moment on the atom in μB.
Sites, in units of the cell vectors:
Pt1 0.750 0.250 0.500  0.19
Cu1 0.608 0.125 0.250  0.08
Cu2 0.875 0.858 0.750  0.08
Co1 0.500 0.500 0.000  1.85
Cu3 0.375 0.392 0.750  0.08
Pt2 0.000 0.000 0.000  0.19
Co2 0.250 0.750 0.500  1.85
Cu4 0.142 0.625 0.250  0.08

Summary:
Its energy relative to the elements is 0.41 eV per atom. As for the space-group type: I-42d. The calculation puts the electronic total energy at -4.921 eV per atom. The calculation puts the density of states at the Fermi level at 4.2 states/eV/f.u.

***

Entry 10:
Below is an optimized crystal structure of YReAgO6, with properties calculated at the PBE level.

abc: 5.454 5.934 4.908
angles: 77.31 83.13 57.03
Sites, in units of the cell vectors:
Ag1 0.984 0.008 0.000
Re1 0.328 0.336 0.500
Y1 0.638 0.681 0.500
O1 0.342 0.019 0.737
O2 0.636 0.060 0.295
O3 0.342 0.639 0.263
O4 0.636 0.304 0.705
O5 0.047 0.558 0.724
O6 0.047 0.395 0.276

Summary:
The energy relative to the elements, uncorrected comes out at -1.67 eV/atom. As for the space-group type: C2. The calculation puts the electronic total energy at -7.392 eV per atom. The calculation puts the density of states at the Fermi level at 3.1 states/eV/f.u.

***

Entry 11:
Below is an optimized crystal structure of KLa2Tl, with properties calculated at the PBE level.

abc: 3.824 4.545 9.647
angles: 90.00 90.00 90.00
Sites, in units of the cell vectors:
Tl1 0.500 0.500 0.250
K1 0.500 0.500 0.750
La1 0.000 0.000 0.086
La2 0.000 0.000 0.414

Summary:
Its energy relative to the elements is 0.00 eV per atom. As for the space-group type: Pmmm. As for the energy above the lowest structure with this stoichiometry: 5 kJ/mol of formula units. The calculation puts the electronic total energy at -3.332 eV per atom. The calculation puts the density of states at the Fermi level at 4.3 states/eV/f.u.

***

Entry 12:
Below is an optimized crystal structure of TiV3H3, with properties calculated at the PBE level.

abc: 4.777 4.777 7.352
angles: 71.04 71.04 60.00
Sites, in units of the cell vectors:
H1 0.281 0.598 0.181
H2 0.402 0.060 0.819
Ti1 0.333 0.333 0.001
V1 0.888 0.557 0.339
H3 0.598 0.940 0.181
V2 0.216 0.888 0.339
H4 0.060 0.719 0.819
Ti2 0.667 0.667 0.999
V3 0.443 0.784 0.661
V4 0.784 0.112 0.661
V5 0.557 0.216 0.339
H5 0.940 0.281 0.181
H6 0.719 0.402 0.819
V6 0.112 0.443 0.661

Summary:
As for the space-group type: R-3. The calculation puts the electronic total energy at -6.515 eV per atom. The calculation puts the density of states at the Fermi level at 7.0 states/eV/f.u.

***

Entry 13:
Below is an optimized crystal structure of Pm4Y5Tm2, with properties calculated at the PBE level.

abc: 3.551 8.639 12.162
angles: 94.67 98.39 90.00
Sites, in units of the cell vectors:
Pm1 0.039 0.345 0.079
Tm1 0.588 0.696 0.176
Y1 0.816 0.526 0.631
Y2 0.184 0.474 0.369
Tm2 0.412 0.304 0.824
Y3 0.130 0.045 0.260
Y4 0.870 0.955 0.740
Pm2 0.276 0.173 0.552
Pm3 0.724 0.827 0.448
Pm4 0.961 0.655 0.921
Y5 0.500 0.000 0.000

Summary:
Its energy relative to the elements is 0.10 eV per atom. As for the space-group type: C2/m. As for the energy above the lowest structure with this stoichiometry: 0 kJ/mol of formula units. The calculation puts the electronic total energy at -5.379 eV per atom. The calculation puts the density of states at the Fermi level at 17.8 states/eV/f.u.